Density functional theory data (PBE) for Cd3OF2 after structural relaxation.

For the uncorrected formation energy, the calculation gives -1.23 eV/atom. Its density of states at the Fermi level is 4.05 states/eV/cell. The value obtained for the volume is 402.88 Å³ per cell. The density comes out at 6.5 g/cm3.

a = 12.472 Å, b = 5.565 Å, c = 5.804 Å
α = 90.00°, β = 90.00°, γ = 90.00°
Space group Cmc2_1 (No. 36)
Asymmetric unit:
Cd1 0.000 0.223 0.000
Cd2 0.169 0.318 0.548
O1 0.000 0.413 0.659
F1 0.113 0.041 0.267